[1]
DFT (PBE-GGA) results for TbEuInIr after structural relaxation. Values from VASP.

```
&SYSTEM
  ibrav = 0, nat = 4, ntyp = 4
/
ATOMIC_SPECIES
Tb 158.93 Tb.upf
Eu 151.96 Eu.upf
In 114.82 In.upf
Ir 192.22 Ir.upf
ATOMIC_POSITIONS angstrom
Tb 0.000 0.000 0.000
Eu 3.637 3.637 3.637
In 5.456 5.456 5.456
Ir 1.819 1.819 1.819
CELL_PARAMETERS angstrom
0.000 3.637 3.637
3.637 0.000 3.637
3.637 3.637 0.000
```

volume	24.059	Å³/atom
SG	F-43m, No. 216
density	10.662	g cm⁻³
ΔE_f	-391	meV/atom

---

[2]
DFT (PBE-GGA) results for Cs2SnSe3 after structural relaxation. Values from VASP.

```
&SYSTEM
  ibrav = 0, nat = 12, ntyp = 3
/
ATOMIC_SPECIES
Cs 132.91 Cs.upf
Sn 118.71 Sn.upf
Se 78.96 Se.upf
ATOMIC_POSITIONS angstrom
Cs 3.747 3.209 6.048
Cs 8.207 3.209 5.138
Cs 4.331 -3.209 2.319
Cs 8.791 -3.209 1.409
Sn 6.561 0.764 1.864
Sn 5.977 -0.764 5.593
Se 6.561 3.293 1.864
Se 4.475 0.390 3.821
Se 5.059 -0.390 0.092
Se 7.479 0.390 7.365
Se 8.063 -0.390 3.636
Se 5.977 -3.293 5.593
CELL_PARAMETERS angstrom
6.853 -4.695 0.000
6.853 4.695 0.000
-1.168 0.000 7.457
```

volume	39.986	Å³/atom
SG	C2/c, No. 15
density	4.301	g cm⁻³
E_form (uncorrected)	-20.8	kcal/mol of atoms

---

[3]
DFT (PBE-GGA) results for Li2SnSbH after structural relaxation. Values from VASP.

```
&SYSTEM
  ibrav = 0, nat = 5, ntyp = 4
/
ATOMIC_SPECIES
Li 6.94 Li.upf
Sn 118.71 Sn.upf
Sb 121.76 Sb.upf
H 1.01 H.upf
ATOMIC_POSITIONS angstrom
Li 0.000 2.232 0.000
Li 2.232 0.000 0.000
Sn 0.000 0.000 2.280
Sb 2.232 2.232 2.280
H 0.000 0.000 0.000
CELL_PARAMETERS angstrom
4.464 0.000 0.000
0.000 4.464 0.000
0.000 0.000 4.559
```

volume	18.168	Å³/atom
SG	P4/mmm, No. 123
density	4.668	g cm⁻³
offset from the most stable computed form	0.0	meV/atom

---

[4]
DFT (PBE-GGA) results for Li2LaZn9 after structural relaxation. Values from VASP.

```
&SYSTEM
  ibrav = 0, nat = 12, ntyp = 3
/
ATOMIC_SPECIES
Li 6.94 Li.upf
La 138.91 La.upf
Zn 65.41 Zn.upf
ATOMIC_POSITIONS angstrom
Li 0.000 0.000 3.634
Li 0.000 0.000 21.688
La 0.000 0.000 0.000
Zn -1.359 -0.785 10.646
Zn 0.000 0.000 8.471
Zn 0.000 -1.570 14.676
Zn -1.359 0.785 14.676
Zn 0.000 0.000 12.661
Zn 1.359 -0.785 10.646
Zn 0.000 1.570 10.646
Zn 0.000 0.000 16.850
Zn 1.359 0.785 14.676
CELL_PARAMETERS angstrom
2.664 1.538 8.441
-2.664 1.538 8.441
0.000 -3.076 8.441
```

volume	17.295	Å³/atom
SG	R-3m, No. 166
density	5.933	g cm⁻³
ΔE_f	-214	meV/atom
offset from the most stable computed form	0.0	meV/atom

---

[5]
DFT (PBE-GGA) results for CsNaMo2Rh after structural relaxation. Values from VASP.

```
&SYSTEM
  ibrav = 0, nat = 5, ntyp = 4
/
ATOMIC_SPECIES
Cs 132.91 Cs.upf
Na 22.99 Na.upf
Mo 95.94 Mo.upf
Rh 102.91 Rh.upf
ATOMIC_POSITIONS angstrom
Cs 0.000 0.000 0.000
Na 0.000 0.000 2.550
Mo 0.000 2.484 0.000
Mo 2.484 0.000 0.000
Rh 2.484 2.484 2.550
CELL_PARAMETERS angstrom
4.968 0.000 0.000
0.000 4.968 0.000
0.000 0.000 5.100
```

volume	25.168	Å³/atom
SG	P4/mmm, No. 123
density	5.947	g cm⁻³
ΔE_f	2901	meV/atom

---

[6]
DFT (PBE-GGA) results for AcPm2YSe6 after structural relaxation. Values from VASP.

```
&SYSTEM
  ibrav = 0, nat = 10, ntyp = 4
/
ATOMIC_SPECIES
Ac 227.00 Ac.upf
Pm 145.00 Pm.upf
Y 88.91 Y.upf
Se 78.96 Se.upf
ATOMIC_POSITIONS angstrom
Ac 0.000 0.000 0.000
Pm 0.000 0.000 4.073
Pm 0.000 0.000 14.150
Y 0.000 0.000 10.152
Se -1.112 -2.298 8.797
Se -2.161 0.185 12.095
Se -1.434 2.112 8.797
Se 0.920 -1.964 12.095
Se 2.546 0.186 8.797
Se 1.241 1.779 12.095
CELL_PARAMETERS angstrom
3.747 2.163 6.623
-3.747 2.163 6.623
0.000 -4.326 6.623
```

volume	32.207	Å³/atom
SG	R3, No. 146
density	5.567	g cm⁻³
E_form (uncorrected)	-43.3	kcal/mol of atoms

---

[7]
DFT (PBE-GGA) results for FeSi after structural relaxation. Values from VASP.

```
&SYSTEM
  ibrav = 0, nat = 6, ntyp = 2
/
ATOMIC_SPECIES
Fe 55.84 Fe.upf
Si 28.09 Si.upf
ATOMIC_POSITIONS angstrom
Fe 0.000 0.000 0.000
Fe -0.263 0.000 2.781
Fe 5.951 0.000 4.640
Si 2.699 0.000 3.517
Si 3.419 0.000 1.137
Si 6.028 0.000 1.575
CELL_PARAMETERS angstrom
4.909 -1.356 0.000
4.909 1.356 0.000
-1.169 0.000 5.101
```

volume	11.315	Å³/atom
SG	Cm, No. 8
density	6.159	g cm⁻³
E_form (uncorrected)	-4.6	kcal/mol of atoms

---

[8]
DFT (PBE-GGA) results for CdFeHg2 after structural relaxation. Values from VASP.

```
&SYSTEM
  ibrav = 0, nat = 4, ntyp = 3
/
ATOMIC_SPECIES
Cd 112.41 Cd.upf
Fe 55.84 Fe.upf
Hg 200.59 Hg.upf
ATOMIC_POSITIONS angstrom
Cd 0.000 0.000 0.000
Fe 0.000 0.000 4.173
Hg 2.176 0.000 2.087
Hg 0.000 2.176 2.087
CELL_PARAMETERS angstrom
-2.176 2.176 4.173
2.176 -2.176 4.173
2.176 2.176 -4.173
```

volume	19.760	Å³/atom
SG	I4/mmm, No. 139
density	11.963	g cm⁻³
ΔE_f	414	meV/atom

---

[9]
DFT (PBE-GGA) results for BaTa4Cd after structural relaxation. Values from VASP.

```
&SYSTEM
  ibrav = 0, nat = 6, ntyp = 3
/
ATOMIC_SPECIES
Ba 137.33 Ba.upf
Ta 180.95 Ta.upf
Cd 112.41 Cd.upf
ATOMIC_POSITIONS angstrom
Ba 0.000 0.000 0.000
Ta 3.052 3.052 3.052
Ta 5.134 5.134 3.052
Ta 5.134 3.052 5.134
Ta 3.052 5.134 5.134
Cd 6.139 6.139 6.139
CELL_PARAMETERS angstrom
0.000 4.093 4.093
4.093 0.000 4.093
4.093 4.093 0.000
```

volume	22.853	Å³/atom
SG	F-43m, No. 216
density	11.790	g cm⁻³
ΔE_f	787	meV/atom

---

[10]
DFT (PBE-GGA) results for SrSiN2 after structural relaxation. Values from VASP.

```
&SYSTEM
  ibrav = 0, nat = 32, ntyp = 3
/
ATOMIC_SPECIES
Sr 87.62 Sr.upf
Si 28.09 Si.upf
N 14.01 N.upf
ATOMIC_POSITIONS angstrom
Sr 2.673 2.657 7.149
Sr 2.664 2.657 10.318
Sr 0.537 0.521 10.438
Sr 1.596 -0.521 4.616
Sr 4.800 0.521 7.029
Sr 5.858 -0.521 1.207
Sr 3.731 -2.657 1.327
Sr 3.723 -2.657 4.496
Si 2.677 2.650 3.925
Si 2.678 0.553 1.902
Si 4.777 2.650 1.897
Si 1.620 -0.553 7.724
Si 4.776 0.553 3.921
Si 1.619 -2.650 9.748
Si 3.717 -0.553 9.743
Si 3.719 -2.650 7.719
N 1.687 1.605 2.908
N 3.727 3.639 2.911
N 0.539 0.529 6.782
N 3.733 1.603 0.869
N 1.597 -0.529 0.960
N 3.721 1.603 4.953
N 2.669 0.439 8.734
N 0.629 -1.605 8.730
N 5.766 1.605 2.915
N 3.727 -0.439 2.911
N 2.675 -1.603 6.691
N 4.799 0.529 10.685
N 2.663 -1.603 10.776
N 5.857 -0.529 4.862
N 2.669 -3.639 8.734
N 4.708 -1.605 8.737
CELL_PARAMETERS angstrom
4.256 -4.256 0.000
4.256 4.256 0.000
-2.117 0.000 11.645
```

volume	13.183	Å³/atom
SG	C2/c, No. 15
density	4.526	g cm⁻³
E_form (uncorrected)	-26.2	kcal/mol of atoms